Entry 1:
Material: Ca4CdAgHg2
Method: DFT, GGA-PBE
State: optimized geometry

a = 5.3577 Å, b = 5.3577 Å, c = 26.1440 Å
α = 90.00°, β = 90.00°, γ = 120.00°
Space group R-3m (No. 166, hexagonal axes)
One atom of each set of equivalent atoms:
Ca  0.0000  0.0000  0.1229
Ca  0.0000  0.0000  0.3733
Cd  0.0000  0.0000  0.5000
Ag  0.0000  0.0000  0.0000
Hg  0.0000  0.0000  0.2475

Summary:
Uncorrected energy = -0.1461 Ry per atom



Entry 2:
Material: Nd8NiPd2
Method: DFT, GGA-PBE
State: optimized geometry

a = 18.474 Å, b = 5.223 Å, c = 6.832 Å
α = 90.00°, β = 108.27°, γ = 90.00°
Space group C2/m (No. 12)
One atom of each set of equivalent atoms:
Nd  0.027  0.000  0.295
Nd  0.090  0.500  0.957
Nd  0.170  0.500  0.500
Nd  0.202  0.000  0.840
Ni  0.000  0.500  0.500
Pd  0.172  0.000  0.238

Summary:
Uncorrected energy = -0.3848 Ry per atom



Entry 3:
Material: Pm12YTm2
Method: DFT, GGA-PBE
State: optimized geometry

a = 6.501 Å, b = 6.501 Å, c = 25.502 Å
α = 90.00°, β = 90.00°, γ = 90.00°
Space group P4/nbm (No. 125, origin choice 2)
One atom of each set of equivalent atoms:
Pm  0.068  0.568  0.115
Pm  0.082  0.582  0.562
Pm  0.250  0.250  0.216
Pm  0.250  0.250  0.337
Y  0.250  0.750  0.000
Tm  0.250  0.750  0.274

Summary:
Uncorrected energy = -0.3309 Ry per atom



Entry 4:
Material: BaPa2CuAs4
Method: DFT, GGA-PBE
State: optimized geometry

a = 4.195 Å, b = 14.059 Å, c = 13.986 Å
α = 90.00°, β = 90.00°, γ = 90.00°
Space group Cmcm (No. 63)
One atom of each set of equivalent atoms:
Ba  0.000  0.110  0.250
Pa  0.000  0.370  0.059
Cu  0.000  0.159  0.750
As  0.000  0.000  0.000
As  0.000  0.262  0.610
As  0.000  0.433  0.250

Summary:
Uncorrected energy = -0.4692 Ry per atom



Entry 5:
Material: Zn7Cr
Method: DFT, GGA-PBE
State: optimized geometry

a = 7.704 Å, b = 7.704 Å, c = 7.704 Å
α = 90.00°, β = 90.00°, γ = 90.00°
Space group Fm-3m (No. 225)
One atom of each set of equivalent atoms:
Zn  0.000  0.000  0.000
Zn  0.000  0.250  0.250
Cr  0.000  0.000  0.500

Summary:
Uncorrected energy = -0.1662 Ry per atom



Entry 6:
Material: HfBe11Ni
Method: DFT, GGA-PBE
State: optimized geometry

a = 4.241 Å, b = 10.668 Å, c = 5.704 Å
α = 90.00°, β = 111.34°, γ = 90.00°
Space group C2/m (No. 12)
One atom of each set of equivalent atoms:
Hf  0.000  0.000  0.000
Be  0.000  0.500  0.500
Be  0.108  0.388  0.219
Be  0.167  0.178  0.353
Be  0.250  0.250  0.000
Ni  0.000  0.000  0.500

Summary:
Uncorrected energy = -0.3365 Ry per atom



Entry 7:
Material: LiNp3Al12
Method: DFT, GGA-PBE
State: optimized geometry

a = 4.211 Å, b = 4.211 Å, c = 16.732 Å
α = 90.00°, β = 90.00°, γ = 90.00°
Space group P4/mmm (No. 123)
One atom of each set of equivalent atoms:
Li  0.000  0.000  0.000
Np  0.000  0.000  0.242
Np  0.000  0.000  0.500
Al  0.000  0.500  0.113
Al  0.000  0.500  0.371
Al  0.500  0.500  0.000
Al  0.500  0.500  0.245
Al  0.500  0.500  0.500

Summary:
Uncorrected energy = -0.4001 Ry per atom



Entry 8:
Material: AcZn2CdAu2
Method: DFT, GGA-PBE
State: optimized geometry

a = 4.6071 Å, b = 4.6071 Å, c = 7.2404 Å
α = 90.00°, β = 90.00°, γ = 120.00°
Space group P-3m1 (No. 164)
One atom of each set of equivalent atoms:
Ac  0.0000  0.0000  0.0000
Zn  0.3333  0.6667  0.3148
Cd  0.0000  0.0000  0.5000
Au  0.3333  0.6667  0.7182

Summary:
Uncorrected energy = -0.2078 Ry per atom



Entry 9:
Material: Sr4LiPd3
Method: DFT, GGA-PBE
State: optimized geometry

a = 4.346 Å, b = 4.562 Å, c = 11.743 Å
α = 90.00°, β = 90.00°, γ = 90.00°
Space group Pmm2 (No. 25)
One atom of each set of equivalent atoms:
Sr  0.000  0.000  0.000
Sr  0.000  0.500  0.261
Sr  0.500  0.000  0.472
Sr  0.500  0.500  0.772
Li  0.000  0.000  0.672
Pd  0.000  0.500  0.562
Pd  0.500  0.000  0.201
Pd  0.500  0.500  0.054

Summary:
Uncorrected energy = -0.2577 Ry per atom



Entry 10:
Material: CaDyPu4
Method: DFT, GGA-PBE
State: optimized geometry

a = 8.952 Å, b = 8.952 Å, c = 8.952 Å
α = 90.00°, β = 90.00°, γ = 90.00°
Space group F-43m (No. 216)
One atom of each set of equivalent atoms:
Ca  0.000  0.000  0.000
Dy  0.250  0.250  0.750
Pu  0.124  0.124  0.376

Summary:
Uncorrected energy = -0.7608 Ry per atom



Entry 11:
Material: CoIr2Cl
Method: DFT, GGA-PBE
State: optimized geometry

a = 4.531 Å, b = 4.531 Å, c = 2.778 Å
α = 90.00°, β = 90.00°, γ = 90.00°
Space group P4/mmm (No. 123)
One atom of each set of equivalent atoms:
Co  0.000  0.000  0.000
Ir  0.000  0.500  0.500
Cl  0.500  0.500  0.000

Summary:
E_form (uncorrected) = 388 kJ/mol of formula units
Uncorrected energy = -0.4162 Ry per atom



no.,calculated volume (Å³/cell),total magnetic moment (μB/atom)
1,649.9,0.000
2,625.9,0.000
3,1077.9,0.000
4,824.9,0.000
5,457.3,0.126
6,240.4,0.000
7,296.7,0.773
8,133.1,0.000
9,232.8,0.000
10,717.3,4.118
11,57.0,0.696